No. 1
Computed, not measured: a relaxed structure of SeN2F at the PBE level of DFT.

Unit cell a=6.019 b=6.019 c=6.019 alpha=30.25 beta=30.25 gamma=30.25
Fractional positions:
Se1 0.000 0.000 0.000
N1 0.394 0.394 0.394
N2 0.606 0.606 0.606
F1 0.500 0.500 0.500

The calculation puts the distance to the lowest polymorph of the same formula at 0 meV/atom. Its size of the total moment is 0.00 μB/f.u. As for the formation energy without anion corrections: 1.31 eV/atom.

=====

No. 2
Computed, not measured: a relaxed structure of TbDyMgZn at the PBE level of DFT.

Unit cell a=3.594 b=3.594 c=7.789 alpha=90.00 beta=90.00 gamma=90.00
Fractional positions:
Tb1 0.000 0.000 0.000
Dy1 0.000 0.000 0.554
Mg1 0.500 0.500 0.278
Zn1 0.500 0.500 0.775

The calculation puts the distance to the lowest polymorph of the same formula at 0 meV/atom. Its size of the total moment is 0.00 μB/f.u. The energy relative to the elements is -0.21 eV/atom.

=====

No. 3
Computed, not measured: a relaxed structure of BaLiH2Os at the PBE level of DFT.

Unit cell a=4.280 b=4.280 c=5.830 alpha=90.00 beta=90.00 gamma=90.00
Fractional positions:
Ba1 0.000 0.000 0.000
Li1 0.000 0.000 0.500
H1 0.000 0.500 0.500
H2 0.500 0.000 0.500
Os1 0.500 0.500 0.000

The calculation puts the energy at -3.057 eV/atom. Its size of the total moment is 3.00 μB/f.u.

=====

No. 4
Computed, not measured: a relaxed structure of Zn8AgPd2 at the PBE level of DFT.

Unit cell a=7.241 b=7.241 c=6.401 alpha=107.89 beta=107.89 gamma=31.13
Fractional positions:
Zn1 0.046 0.046 0.221
Zn2 0.141 0.141 0.704
Zn3 0.317 0.317 0.593
Zn4 0.404 0.404 0.037
Zn5 0.596 0.596 0.963
Zn6 0.683 0.683 0.407
Zn7 0.859 0.859 0.296
Zn8 0.954 0.954 0.779
Ag1 0.500 0.500 0.500
Pd1 0.227 0.227 0.155
Pd2 0.773 0.773 0.845

The calculation puts the distance to the lowest polymorph of the same formula at 0 meV/atom. Its size of the total moment is 0.00 μB/f.u. The energy relative to the elements is -0.23 eV/atom.

=====

No. 5
Computed, not measured: a relaxed structure of La8InGa2 at the PBE level of DFT.

Unit cell a=8.585 b=8.585 c=5.862 alpha=101.15 beta=101.15 gamma=116.91
Fractional positions:
La1 0.077 0.308 0.566
La2 0.235 0.765 0.000
La3 0.308 0.077 0.566
La4 0.408 0.408 0.202
La5 0.592 0.592 0.798
La6 0.692 0.923 0.434
La7 0.765 0.235 0.000
La8 0.923 0.692 0.434
In1 0.000 0.000 0.000
Ga1 0.307 0.693 0.500
Ga2 0.693 0.307 0.500

Its size of the total moment is 0.00 μB/f.u. The energy relative to the elements is -0.27 eV/atom.

=====

No. 6
Computed, not measured: a relaxed structure of Sr2Sb3Pd3 at the PBE level of DFT.

Unit cell a=3.156 b=3.156 c=22.447 alpha=90.00 beta=90.00 gamma=90.00
Fractional positions:
Sr1 0.000 0.000 0.240
Sr2 0.000 0.000 0.760
Sb1 0.000 0.000 0.000
Sb2 0.000 0.000 0.385
Sb3 0.000 0.000 0.615
Pd1 0.000 0.000 0.116
Pd2 0.000 0.000 0.500
Pd3 0.000 0.000 0.884

Its size of the total moment is 0.00 μB/f.u. As for the formation energy without anion corrections: 0.32 eV/atom.

=====

No. 7
Computed, not measured: a relaxed structure of MgPSe2 at the PBE level of DFT.

Unit cell a=7.333 b=7.333 c=7.333 alpha=151.11 beta=148.23 gamma=43.47
Fractional positions:
Mg1 0.000 0.000 0.000
P1 0.500 0.500 0.000
Se1 0.366 0.866 0.500
Se2 0.634 0.134 0.500

The calculation puts the distance to the lowest polymorph of the same formula at 174 meV/atom. Its size of the total moment is 0.00 μB/f.u. As for the formation energy without anion corrections: -0.24 eV/atom.

=====

No. 8
Computed, not measured: a relaxed structure of Sn2Ge2Sb at the PBE level of DFT.

Unit cell a=7.429 b=7.429 c=7.429 alpha=145.64 beta=145.64 gamma=49.38
Fractional positions:
Sn1 0.250 0.750 0.500
Sn2 0.750 0.250 0.500
Ge1 0.095 0.095 0.000
Ge2 0.905 0.905 0.000
Sb1 0.500 0.500 0.000

The calculation puts the distance to the lowest polymorph of the same formula at 140 meV/atom. Its size of the total moment is 0.00 μB/f.u. As for the formation energy without anion corrections: 0.31 eV/atom.

=====

No. 9
Computed, not measured: a relaxed structure of FeTe2Pb at the PBE level of DFT.

Unit cell a=5.280 b=5.280 c=5.280 alpha=60.00 beta=60.00 gamma=60.00
Fractional positions:
Fe1 0.000 0.000 0.000
Te1 0.500 0.500 0.500
Te2 0.750 0.750 0.750
Pb1 0.250 0.250 0.250

Its size of the total moment is 3.10 μB/f.u. As for the formation energy without anion corrections: 0.61 eV/atom.

=====

No. 10
Computed, not measured: a relaxed structure of PmGa11Pd at the PBE level of DFT.

Unit cell a=6.631 b=6.631 c=8.091 alpha=97.26 beta=97.26 gamma=133.49
Fractional positions:
Pm1 0.000 0.000 0.000
Ga1 0.000 0.000 0.500
Ga2 0.000 0.500 0.000
Ga3 0.017 0.373 0.361
Ga4 0.278 0.495 0.776
Ga5 0.373 0.017 0.361
Ga6 0.495 0.278 0.776
Ga7 0.500 0.000 0.000
Ga8 0.505 0.722 0.224
Ga9 0.627 0.983 0.639
Ga10 0.722 0.505 0.224
Ga11 0.983 0.627 0.639
Pd1 0.500 0.500 0.500

Its size of the total moment is 0.00 μB/f.u. The energy relative to the elements is -0.21 eV/atom.

=====

No. 11
Computed, not measured: a relaxed structure of Ac7TlCo3 at the PBE level of DFT.

Unit cell a=7.263 b=7.263 c=7.160 alpha=99.66 beta=99.66 gamma=94.57
Fractional positions:
Ac1 0.000 0.000 0.000
Ac2 0.137 0.541 0.271
Ac3 0.353 0.353 0.783
Ac4 0.459 0.863 0.729
Ac5 0.541 0.137 0.271
Ac6 0.647 0.647 0.217
Ac7 0.863 0.459 0.729
Tl1 0.000 0.000 0.500
Co1 0.274 0.726 0.000
Co2 0.500 0.500 0.500
Co3 0.726 0.274 0.000

Its size of the total moment is 0.00 μB/f.u. The energy relative to the elements is -0.04 eV/atom.

=====

No. 12
Computed, not measured: a relaxed structure of Ac8Si3I3N at the PBE level of DFT.

Unit cell a=9.749 b=9.749 c=9.749 alpha=53.94 beta=53.94 gamma=53.94
Fractional positions:
Ac1 0.234 0.234 0.234
Ac2 0.258 0.714 0.714
Ac3 0.286 0.286 0.742
Ac4 0.286 0.742 0.286
Ac5 0.714 0.258 0.714
Ac6 0.714 0.714 0.258
Ac7 0.742 0.286 0.286
Ac8 0.766 0.766 0.766
Si1 0.000 0.000 0.500
Si2 0.000 0.500 0.000
Si3 0.500 0.000 0.000
I1 0.000 0.500 0.500
I2 0.500 0.000 0.500
I3 0.500 0.500 0.000
N1 0.500 0.500 0.500

Its size of the total moment is 1.12 μB/f.u. As for the formation energy without anion corrections: -0.78 eV/atom.

=====

No. 13
Computed, not measured: a relaxed structure of Sm5CdBi2 at the PBE level of DFT.

Unit cell a=6.634 b=6.634 c=14.978 alpha=90.00 beta=90.00 gamma=127.69
Fractional positions:
Sm1 0.072 0.928 0.600
Sm2 0.072 0.928 0.900
Sm3 0.377 0.623 0.551
Sm4 0.377 0.623 0.949
Sm5 0.415 0.585 0.250
Sm6 0.585 0.415 0.750
Sm7 0.623 0.377 0.051
Sm8 0.623 0.377 0.449
Sm9 0.928 0.072 0.100
Sm10 0.928 0.072 0.400
Cd1 0.289 0.711 0.750
Cd2 0.711 0.289 0.250
Bi1 0.202 0.798 0.117
Bi2 0.202 0.798 0.383
Bi3 0.798 0.202 0.617
Bi4 0.798 0.202 0.883

Its size of the total moment is 0.00 μB/f.u. The energy relative to the elements is -0.27 eV/atom.

=====

No. 14
Computed, not measured: a relaxed structure of NdSm2Dy2Ho2 at the PBE level of DFT.

Unit cell a=6.190 b=6.190 c=8.020 alpha=97.50 beta=97.50 gamma=48.30
Fractional positions:
Nd1 0.000 0.000 0.000
Sm1 0.143 0.143 0.429
Sm2 0.857 0.857 0.571
Dy1 0.285 0.285 0.858
Dy2 0.715 0.715 0.142
Ho1 0.428 0.428 0.286
Ho2 0.572 0.572 0.714

Its size of the total moment is 0.00 μB/f.u. The energy relative to the elements is 0.02 eV/atom.

=====

No. 15
Computed, not measured: a relaxed structure of Pm2Mg2Pd15 at the PBE level of DFT.

Unit cell a=7.020 b=7.020 c=7.020 alpha=81.09 beta=81.09 gamma=81.09
Fractional positions:
Pm1 0.150 0.150 0.150
Pm2 0.850 0.850 0.850
Mg1 0.400 0.400 0.400
Mg2 0.600 0.600 0.600
Pd1 0.000 0.500 0.500
Pd2 0.152 0.152 0.656
Pd3 0.152 0.656 0.152
Pd4 0.195 0.500 0.805
Pd5 0.195 0.805 0.500
Pd6 0.344 0.848 0.848
Pd7 0.500 0.000 0.500
Pd8 0.500 0.195 0.805
Pd9 0.500 0.500 0.000
Pd10 0.500 0.805 0.195
Pd11 0.656 0.152 0.152
Pd12 0.805 0.195 0.500
Pd13 0.805 0.500 0.195
Pd14 0.848 0.344 0.848
Pd15 0.848 0.848 0.344

Its size of the total moment is 0.00 μB/f.u. The energy relative to the elements is -0.46 eV/atom.

=====

No. 16
Computed, not measured: a relaxed structure of Sr2ZnInCu6 at the PBE level of DFT.

Unit cell a=6.795 b=6.795 c=6.795 alpha=60.00 beta=60.00 gamma=60.00
Fractional positions:
Sr1 0.250 0.250 0.250
Sr2 0.750 0.750 0.750
Zn1 0.000 0.000 0.000
In1 0.500 0.500 0.500
Cu1 0.239 0.239 0.761
Cu2 0.239 0.761 0.239
Cu3 0.239 0.761 0.761
Cu4 0.761 0.239 0.239
Cu5 0.761 0.239 0.761
Cu6 0.761 0.761 0.239

Its size of the total moment is 0.00 μB/f.u. The energy relative to the elements is 0.18 eV/atom.

=====

No. 17
Computed, not measured: a relaxed structure of PuH8IrRh2 at the PBE level of DFT.

Unit cell a=6.185 b=6.185 c=6.185 alpha=44.52 beta=44.52 gamma=44.52
Fractional positions:
Pu1 0.000 0.000 0.000
H1 0.151 0.409 0.757
H2 0.243 0.849 0.591
H3 0.318 0.318 0.318
H4 0.409 0.757 0.151
H5 0.591 0.243 0.849
H6 0.682 0.682 0.682
H7 0.757 0.151 0.409
H8 0.849 0.591 0.243
Ir1 0.500 0.500 0.500
Rh1 0.221 0.221 0.221
Rh2 0.779 0.779 0.779

The calculation puts the energy at -5.466 eV/atom. Its size of the total moment is 5.18 μB/f.u.

=====

No. 18
Computed, not measured: a relaxed structure of Y2Be at the PBE level of DFT.

Unit cell a=15.752 b=15.752 c=15.752 alpha=164.08 beta=164.08 gamma=22.59
Fractional positions:
Y1 0.037 0.787 0.250
Y2 0.114 0.364 0.750
Y3 0.213 0.963 0.250
Y4 0.364 0.114 0.250
Y5 0.636 0.886 0.750
Y6 0.787 0.037 0.750
Y7 0.886 0.636 0.250
Y8 0.963 0.213 0.750
Be1 0.302 0.552 0.750
Be2 0.448 0.698 0.750
Be3 0.552 0.302 0.250
Be4 0.698 0.448 0.250

The calculation puts the distance to the lowest polymorph of the same formula at 254 meV/atom. Its size of the total moment is 0.00 μB/f.u. The energy relative to the elements is 0.31 eV/atom.

=====

No. 19
Computed, not measured: a relaxed structure of Mg2ZrW at the PBE level of DFT.

Unit cell a=5.820 b=5.820 c=5.820 alpha=149.18 beta=127.08 gamma=62.50
Fractional positions:
Mg1 0.000 0.000 0.000
Mg2 0.746 0.246 0.500
Zr1 0.276 0.776 0.500
W1 0.504 0.504 0.000

The calculation puts the distance to the lowest polymorph of the same formula at 184 meV/atom. Its size of the total moment is 0.00 μB/f.u. The energy relative to the elements is 0.39 eV/atom.

=====

No. 20
Computed, not measured: a relaxed structure of BeIrBr at the PBE level of DFT.

Unit cell a=6.510 b=6.510 c=6.510 alpha=154.58 beta=154.58 gamma=36.26
Fractional positions:
Be1 0.000 0.000 0.000
Ir1 0.593 0.593 0.000
Br1 0.804 0.804 0.000

The calculation puts the distance to the lowest polymorph of the same formula at 579 meV/atom. Its size of the total moment is 0.00 μB/f.u. As for the formation energy without anion corrections: 0.28 eV/atom.

=====

No. 21
Computed, not measured: a relaxed structure of Be2SbP at the PBE level of DFT.

Unit cell a=3.442 b=3.442 c=6.264 alpha=105.60 beta=105.60 gamma=59.90
Fractional positions:
Be1 0.222 0.222 0.169
Be2 0.778 0.778 0.831
Sb1 0.000 0.000 0.500
P1 0.500 0.500 0.000

The calculation puts the distance to the lowest polymorph of the same formula at 96 meV/atom. Its size of the total moment is 0.00 μB/f.u. As for the formation energy without anion corrections: 0.14 eV/atom.

=====

No. 22
Computed, not measured: a relaxed structure of KNaSr2Au4 at the PBE level of DFT.

Unit cell a=9.371 b=9.371 c=9.371 alpha=33.26 beta=33.26 gamma=33.26
Fractional positions:
K1 0.000 0.000 0.000
Na1 0.500 0.500 0.500
Sr1 0.247 0.247 0.247
Sr2 0.753 0.753 0.753
Au1 0.127 0.127 0.127
Au2 0.382 0.382 0.382
Au3 0.618 0.618 0.618
Au4 0.873 0.873 0.873

Its size of the total moment is 0.00 μB/f.u. The energy relative to the elements is -0.52 eV/atom.

=====

No. 23
Computed, not measured: a relaxed structure of La8Ge4I3 at the PBE level of DFT.

Unit cell a=8.970 b=8.970 c=8.951 alpha=119.79 beta=119.79 gamma=90.32
Fractional positions:
La1 0.221 0.221 0.972
La2 0.233 0.233 0.478
La3 0.236 0.764 0.000
La4 0.238 0.762 0.500
La5 0.762 0.238 0.500
La6 0.764 0.236 0.000
La7 0.767 0.767 0.522
La8 0.779 0.779 0.028
Ge1 0.000 0.000 0.000
Ge2 0.000 0.000 0.500
Ge3 0.000 0.500 0.500
Ge4 0.500 0.000 0.500
I1 0.000 0.500 0.000
I2 0.500 0.000 0.000
I3 0.500 0.500 0.000

Its size of the total moment is 0.99 μB/f.u. As for the formation energy without anion corrections: -0.90 eV/atom.

=====

No. 24
Computed, not measured: a relaxed structure of CaLa3Tc at the PBE level of DFT.

Unit cell a=5.621 b=5.621 c=5.621 alpha=83.43 beta=83.43 gamma=83.43
Fractional positions:
Ca1 0.000 0.000 0.000
La1 0.078 0.564 0.564
La2 0.564 0.078 0.564
La3 0.564 0.564 0.078
Tc1 0.266 0.266 0.266

The calculation puts the distance to the lowest polymorph of the same formula at 219 meV/atom. Its size of the total moment is 0.00 μB/f.u. The energy relative to the elements is 0.20 eV/atom.